1.
This record from Alexandria via LeMat-Bulk describes a relaxed NaTiO3 crystal. The functional is PBE-GGA.

## Properties
The formation energy from raw total energies comes out at -2.305 eV per atom. Its space-group type is P1 (1). The value obtained for the density of states at the Fermi level is 0.000 states/eV per cell.

a b c (Å): 3.6744 5.7646 6.8873
angles (deg): 83.98 74.62 71.42
With the nearest neighbours (Å) after each atom.
Fractional coordinates of all 10 atoms:
Na  0.0000  0.0000  0.0000  4 O 2.25-2.47
Na  0.1811  0.4638  0.1845  6 O 2.38-2.53
Ti  0.2606  0.9738  0.5122  6 O 1.92-2.09
Ti  0.8648  0.5593  0.7193  2 O 1.75-1.83
O  0.0781  0.3245  0.5268  2 Ti 1.83-1.92
O  0.2911  0.6938  0.7326  3 Ti 1.98-2.09
O  0.3917  0.0022  0.2164  1 O 1.49
O  0.4858  0.7433  0.2930  1 O 1.49
O  0.7367  0.9400  0.5946  2 Ti 1.92-1.93
O  0.8235  0.4090  0.9541  1 Ti 1.75


2.
This record from Alexandria via LeMat-Bulk describes a relaxed Na2NdInSn2 crystal. The functional is PBE-GGA.

## Properties
Its space-group type is Pmc2_1 (26). As for the formation energy: -388 meV per atom. The value obtained for the density of states at the Fermi level is 1.745 states/eV per cell.

a b c (Å): 4.6742 9.4946 7.8449
angles (deg): 90.00 90.00 90.00
With the nearest neighbours (Å) after each atom.
Fractional coordinates of all 12 atoms:
Na  0.0000  0.0766  0.0000  5 Sn 3.31-3.65, 4 Na 3.48-3.61
Na  0.0000  0.9234  0.5000  5 Sn 3.31-3.65, 4 Na 3.48-3.61
Na  0.5000  0.1672  0.3098  4 Sn 3.16-3.20, 2 Na 3.48
Na  0.5000  0.8328  0.8098  4 Sn 3.16-3.20, 2 Na 3.48
Nd  0.5000  0.4440  0.9374  5 Sn 3.22-3.34, 2 In 3.50
Nd  0.5000  0.5560  0.4374  5 Sn 3.22-3.34, 2 In 3.50
In  0.0000  0.3194  0.6069  4 Sn 2.93-3.07
In  0.0000  0.6806  0.1069  4 Sn 2.93-3.07
Sn  0.0000  0.3785  0.2216  2 In 3.01-3.07, 3 Na 3.16-3.35, 4 Nd 3.29-3.34
Sn  0.0000  0.6215  0.7216  2 In 3.01-3.07, 3 Na 3.16-3.35, 4 Nd 3.29-3.34
Sn  0.5000  0.1576  0.7171  2 In 2.93, 2 Na 3.17-3.20, 1 Nd 3.22
Sn  0.5000  0.8424  0.2171  2 In 2.93, 2 Na 3.17-3.20, 1 Nd 3.22


3.
This record from Alexandria via LeMat-Bulk describes a relaxed ZrMo2Cl crystal. The functional is PBE-GGA.

## Properties
The formation energy from raw total energies comes out at 0.730 eV per atom. Its space-group type is P4/mmm (123). The value obtained for the density of states at the Fermi level is 5.834 states/eV per cell.

a b c (Å): 4.6163 4.6163 3.2546
angles (deg): 90.00 90.00 90.00
With the nearest neighbours (Å) after each atom.
Fractional coordinates of all 4 atoms:
Zr  0.0000  0.0000  0.0000  8 Mo 2.82
Mo  0.0000  0.5000  0.5000  4 Zr 2.82, 4 Cl 2.82
Mo  0.5000  0.0000  0.5000  4 Zr 2.82, 4 Cl 2.82
Cl  0.5000  0.5000  0.0000  8 Mo 2.82


4.
This record from Alexandria via LeMat-Bulk describes a relaxed Sr2Li6Cd3 crystal. The functional is PBE-GGA.

## Properties
Its space-group type is P-62m (189). As for the formation energy: -133 meV per atom. The value obtained for the density of states at the Fermi level is 6.794 states/eV per cell.

a b c (Å): 8.3506 8.3506 4.7719
angles (deg): 90.00 90.00 120.00
With the nearest neighbours (Å) after each atom.
Fractional coordinates of all 11 atoms:
Sr  0.3333  0.6667  0.0000  3 Li 3.47, 6 Cd 3.49
Sr  0.6667  0.3333  0.0000  3 Li 3.47, 6 Cd 3.49
Li  0.0000  0.2410  0.5000  3 Cd 2.91-3.00, 4 Li 3.03
Li  0.0000  0.7993  0.0000  6 Li 2.90-3.03, 2 Cd 2.91
Li  0.2007  0.2007  0.0000  6 Li 2.90-3.03, 2 Cd 2.91
Li  0.2410  0.0000  0.5000  3 Cd 2.91-3.00, 4 Li 3.03
Li  0.7590  0.7590  0.5000  3 Cd 2.91-3.00, 4 Li 3.03
Li  0.7993  0.0000  0.0000  6 Li 2.90-3.03, 2 Cd 2.91
Cd  0.0000  0.6006  0.5000  5 Li 2.91-3.00
Cd  0.3994  0.3994  0.5000  5 Li 2.91-3.00
Cd  0.6006  0.0000  0.5000  5 Li 2.91-3.00


5.
This record from Alexandria via LeMat-Bulk describes a relaxed LaNbO4 crystal. The functional is PBE-GGA.

## Properties
The formation energy from raw total energies comes out at -3.099 eV per atom. Its space-group type is C2/c (15). The value obtained for the density of states at the Fermi level is 0.000 states/eV per cell.

a b c (Å): 7.0066 7.0066 5.4130
angles (deg): 112.42 112.42 113.79
With the nearest neighbours (Å) after each atom.
Fractional coordinates of all 12 atoms:
La  0.1257  0.8743  0.7500  8 O 2.51-2.53
La  0.8743  0.1257  0.2500  8 O 2.51-2.53
Nb  0.3786  0.6214  0.2500  4 O 1.89-1.90
Nb  0.6214  0.3786  0.7500  4 O 1.89-1.90
O  0.1330  0.5526  0.3392  1 Nb 1.89
O  0.2155  0.2911  0.8386  1 Nb 1.90
O  0.2911  0.2155  0.3386  1 Nb 1.90
O  0.4474  0.8670  0.1608  1 Nb 1.89
O  0.5526  0.1330  0.8392  1 Nb 1.89
O  0.7089  0.7845  0.6614  1 Nb 1.90
O  0.7845  0.7089  0.1614  1 Nb 1.90
O  0.8670  0.4474  0.6608  1 Nb 1.89


6.
This record from Alexandria via LeMat-Bulk describes a relaxed TiBe3Rh crystal. The functional is PBE-GGA.

## Properties
Its space-group type is Pm-3m (221). As for the formation energy: 169 meV per atom. The value obtained for the density of states at the Fermi level is 3.394 states/eV per cell.

a b c (Å): 4.0728 4.0728 4.0728
angles (deg): 90.00 90.00 90.00
With the nearest neighbours (Å) after each atom.
Fractional coordinates of all 5 atoms:
Ti  0.0000  0.0000  0.0000  12 Be 2.88
Be  0.0000  0.5000  0.5000  2 Rh 2.04
Be  0.5000  0.0000  0.5000  2 Rh 2.04
Be  0.5000  0.5000  0.0000  2 Rh 2.04
Rh  0.5000  0.5000  0.5000  6 Be 2.04